CuRu | PBE | relaxed

Structure (POSCAR):
```
CuRu
1.0
6.727 0.000 0.000
0.000 6.727 0.000
0.000 0.000 6.727
Cu Ru
6 6
direct
0.000 0.250 0.500 Cu
0.000 0.750 0.500 Cu
0.250 0.500 0.000 Cu
0.500 0.000 0.250 Cu
0.500 0.000 0.750 Cu
0.750 0.500 0.000 Cu
0.000 0.500 0.250 Ru
0.000 0.500 0.750 Ru
0.250 0.000 0.500 Ru
0.500 0.250 0.000 Ru
0.500 0.750 0.000 Ru
0.750 0.000 0.500 Ru
```

Output
Energy of formation: 3.94 eV per formula unit
Magnetic moment: 1.140 μB per atom
Raw total energy: -4.718 eV per atom
Crystal system: cubic
SG: Pm-3n (223)

***

Cs2ZnCrSe4 | PBE | relaxed

Structure (POSCAR):
```
Cs2ZnCrSe4
1.0
0.000 7.301 12.841
3.003 0.000 12.841
3.003 7.301 0.000
Cs Zn Cr Se
4 2 2 8
direct
0.053 0.053 0.697 Cs
0.303 0.303 0.947 Cs
0.697 0.697 0.053 Cs
0.947 0.947 0.303 Cs
0.125 0.125 0.125 Zn
0.875 0.875 0.875 Zn
0.375 0.375 0.375 Cr
0.625 0.625 0.625 Cr
0.000 0.353 0.433 Se
0.000 0.647 0.567 Se
0.286 0.567 0.647 Se
0.353 0.000 0.714 Se
0.433 0.714 0.000 Se
0.567 0.286 0.000 Se
0.647 0.000 0.286 Se
0.714 0.433 0.353 Se
```

Output
Formation energy without anion corrections: -860 meV/atom
Magnetic moment: 0.250 μB per atom
Raw total energy: -4.178 eV per atom
Crystal system: orthorhombic
SG: Fddd (70)

***

NaScAg4 | PBE | relaxed

Structure (POSCAR):
```
NaScAg4
1.0
0.000 3.953 3.953
3.953 0.000 3.953
3.953 3.953 0.000
Na Sc Ag
1 1 4
direct
0.000 0.000 0.000 Na
0.750 0.750 0.750 Sc
0.375 0.375 0.375 Ag
0.375 0.375 0.875 Ag
0.375 0.875 0.375 Ag
0.875 0.375 0.375 Ag
```

Output
Energy of formation: -0.02 eV per formula unit
Magnetic moment: 0.150 μB per atom
Raw total energy: -3.179 eV per atom
Crystal system: cubic
SG: F-43m (216)

***

PmEuMgSn | PBE | relaxed

Structure (POSCAR):
```
PmEuMgSn
1.0
0.000 3.873 3.873
3.873 0.000 3.873
3.873 3.873 0.000
Pm Eu Mg Sn
1 1 1 1
direct
0.000 0.000 0.000 Pm
0.500 0.500 0.500 Eu
0.750 0.750 0.750 Mg
0.250 0.250 0.250 Sn
```

Output
Energy of formation: -1.69 eV per formula unit
Magnetic moment: 1.849 μB per atom
Raw total energy: -5.577 eV per atom
Crystal system: cubic
SG: F-43m (216)

***

CoNiW2 | PBE | relaxed

Structure (POSCAR):
```
CoNiW2
1.0
4.345 -1.341 0.000
4.345 1.341 0.000
-0.774 0.000 4.623
Co Ni W
1 1 2
direct
0.000 0.000 0.000 Co
0.257 0.257 0.734 Ni
0.508 0.508 0.526 W
0.747 0.747 0.207 W
```

Output
Offset from the most stable computed form: 59.6 meV/atom
Energy of formation: 0.40 eV per formula unit
Magnetic moment: 0.000 μB per atom
Raw total energy: -9.598 eV per atom
Crystal system: monoclinic
SG: Cm (8)

***

La2PaAs3 | PBE | relaxed

Structure (POSCAR):
```
La2PaAs3
1.0
0.000 6.036 12.776
4.276 0.000 12.776
4.276 6.036 0.000
La Pa As
8 4 12
direct
0.043 0.043 0.207 La
0.123 0.123 0.627 La
0.207 0.207 0.043 La
0.373 0.373 0.877 La
0.627 0.627 0.123 La
0.793 0.793 0.957 La
0.877 0.877 0.373 La
0.957 0.957 0.793 La
0.291 0.291 0.459 Pa
0.459 0.459 0.291 Pa
0.541 0.541 0.709 Pa
0.709 0.709 0.541 Pa
0.038 0.539 0.229 As
0.143 0.607 0.607 As
0.229 0.694 0.038 As
0.306 0.771 0.461 As
0.393 0.857 0.857 As
0.461 0.962 0.306 As
0.539 0.038 0.694 As
0.607 0.143 0.143 As
0.694 0.229 0.539 As
0.771 0.306 0.962 As
0.857 0.393 0.393 As
0.962 0.461 0.771 As
```

Output
Energy of formation: -8.38 eV per formula unit
Magnetic moment: 0.000 μB per atom
Raw total energy: -6.947 eV per atom
Crystal system: orthorhombic
SG: Fddd (70)

***

LiBeZnPtI | PBE | relaxed

Structure (POSCAR):
```
LiBeZnPtI
1.0
2.125 1.227 6.680
-2.125 1.227 6.680
0.000 -2.454 6.680
Li Be Zn Pt I
1 1 1 1 1
direct
0.000 0.000 0.000 Li
0.531 0.531 0.531 Be
0.228 0.228 0.228 Zn
0.874 0.874 0.874 Pt
0.397 0.397 0.397 I
```

Output
Formation energy without anion corrections: -420 meV/atom
Offset from the most stable computed form: 35.4 meV/atom
Magnetic moment: 0.000 μB per atom
Raw total energy: -3.321 eV per atom
Crystal system: trigonal
SG: R3m (160)

***

B5C7 | PBE | relaxed

Structure (POSCAR):
```
B5C7
1.0
4.567 0.000 0.000
-2.121 4.074 0.000
-1.038 -1.769 4.273
B C
5 7
direct
0.000 0.000 0.000 B
0.048 0.043 0.393 B
0.409 0.811 0.375 B
0.488 0.427 0.515 B
0.594 0.589 0.935 B
0.129 0.771 0.532 C
0.280 0.924 0.885 C
0.285 0.635 0.016 C
0.639 0.283 0.025 C
0.777 0.423 0.385 C
0.796 0.139 0.533 C
0.937 0.279 0.886 C
```

Output
Offset from the most stable computed form: 130.4 meV/atom
Energy of formation: 4.66 eV per formula unit
Magnetic moment: 0.000 μB per atom
Raw total energy: -7.774 eV per atom
Crystal system: triclinic
SG: P1 (1)

***

GaFe4Ir | PBE | relaxed

Structure (POSCAR):
```
GaFe4Ir
1.0
2.986 0.000 0.000
0.000 2.986 0.000
0.000 0.000 8.473
Ga Fe Ir
1 4 1
direct
0.000 0.000 0.000 Ga
0.000 0.000 0.319 Fe
0.000 0.000 0.681 Fe
0.500 0.500 0.165 Fe
0.500 0.500 0.835 Fe
0.500 0.500 0.500 Ir
```

Output
Offset from the most stable computed form: 0.0 meV/atom
Energy of formation: -0.38 eV per formula unit
Magnetic moment: 1.730 μB per atom
Raw total energy: -7.687 eV per atom
Crystal system: tetragonal
SG: P4/mmm (123)

***

Ac5Al2Hg2 | PBE | relaxed

Structure (POSCAR):
```
Ac5Al2Hg2
1.0
8.988 -4.270 0.000
8.988 4.270 0.000
0.000 0.000 8.212
Ac Al Hg
10 4 4
direct
0.000 0.000 0.000 Ac
0.047 0.679 0.674 Ac
0.179 0.547 0.174 Ac
0.321 0.953 0.674 Ac
0.453 0.821 0.174 Ac
0.500 0.500 0.500 Ac
0.547 0.179 0.826 Ac
0.679 0.047 0.326 Ac
0.821 0.453 0.826 Ac
0.953 0.321 0.326 Ac
0.114 0.886 0.390 Al
0.386 0.614 0.890 Al
0.614 0.386 0.110 Al
0.886 0.114 0.610 Al
0.215 0.215 0.000 Hg
0.285 0.285 0.500 Hg
0.715 0.715 0.500 Hg
0.785 0.785 0.000 Hg
```

Output
Energy of formation: -2.86 eV per formula unit
Magnetic moment: 0.000 μB per atom
Raw total energy: -3.499 eV per atom
Crystal system: orthorhombic
SG: Cmce (64)

***

Sr2NdAg3 | PBE | relaxed

Structure (POSCAR):
```
Sr2NdAg3
1.0
2.728 -8.219 0.000
2.728 8.219 0.000
0.000 0.000 7.766
Sr Nd Ag
4 2 6
direct
0.000 0.000 0.000 Sr
0.000 0.000 0.500 Sr
0.333 0.667 0.000 Sr
0.667 0.333 0.000 Sr
0.334 0.666 0.500 Nd
0.666 0.334 0.500 Nd
0.174 0.826 0.279 Ag
0.174 0.826 0.721 Ag
0.500 0.500 0.264 Ag
0.500 0.500 0.736 Ag
0.826 0.174 0.279 Ag
0.826 0.174 0.721 Ag
```

Output
Energy of formation: -1.56 eV per formula unit
Magnetic moment: 0.000 μB per atom
Raw total energy: -3.040 eV per atom
Crystal system: orthorhombic
SG: Cmmm (65)

***

Te2PtI | PBE | relaxed

Structure (POSCAR):
```
Te2PtI
1.0
0.000 3.678 3.678
3.678 0.000 3.678
3.678 3.678 0.000
Te Pt I
2 1 1
direct
0.250 0.250 0.250 Te
0.750 0.750 0.750 Te
0.000 0.000 0.000 Pt
0.500 0.500 0.500 I
```

Output
Formation energy without anion corrections: 603 meV/atom
Magnetic moment: 0.000 μB per atom
Raw total energy: -2.866 eV per atom
Crystal system: cubic
SG: Fm-3m (225)

***

LiPm2As3Rh4 | PBE | relaxed

Structure (POSCAR):
```
LiPm2As3Rh4
1.0
4.153 0.000 0.000
0.000 4.153 0.000
0.000 0.000 10.326
Li Pm As Rh
1 2 3 4
direct
0.000 0.000 0.000 Li
0.000 0.500 0.754 Pm
0.500 0.000 0.246 Pm
0.000 0.500 0.362 As
0.500 0.000 0.638 As
0.500 0.500 0.000 As
0.000 0.000 0.500 Rh
0.000 0.500 0.130 Rh
0.500 0.000 0.870 Rh
0.500 0.500 0.500 Rh
```

Output
Energy of formation: -9.14 eV per formula unit
Magnetic moment: 0.000 μB per atom
Raw total energy: -6.391 eV per atom
Crystal system: tetragonal
SG: P-4m2 (115)

***

CeTlPbCl6 | PBE | relaxed

Structure (POSCAR):
```
CeTlPbCl6
1.0
7.493 0.000 0.000
-3.747 6.489 0.000
0.000 0.000 13.494
Ce Tl Pb Cl
2 2 2 12
direct
0.333 0.667 0.250 Ce
0.667 0.333 0.750 Ce
0.000 0.000 0.000 Tl
0.000 0.000 0.500 Tl
0.333 0.667 0.750 Pb
0.667 0.333 0.250 Pb
0.014 0.372 0.135 Cl
0.014 0.642 0.365 Cl
0.358 0.372 0.365 Cl
0.358 0.986 0.135 Cl
0.372 0.014 0.635 Cl
0.372 0.358 0.865 Cl
0.628 0.642 0.135 Cl
0.628 0.986 0.365 Cl
0.642 0.014 0.865 Cl
0.642 0.628 0.635 Cl
0.986 0.358 0.635 Cl
0.986 0.628 0.865 Cl
```

Output
Formation energy without anion corrections: -1609 meV/atom
Magnetic moment: 0.111 μB per atom
Raw total energy: -4.174 eV per atom
Crystal system: trigonal
SG: P-31c (163)

***

Na2NbF | PBE | relaxed

Structure (POSCAR):
```
Na2NbF
1.0
0.000 3.671 3.671
3.671 0.000 3.671
3.671 3.671 0.000
Na Nb F
2 1 1
direct
0.250 0.250 0.250 Na
0.750 0.750 0.750 Na
0.000 0.000 0.000 Nb
0.500 0.500 0.500 F
```

Output
Formation energy without anion corrections: 483 meV/atom
Offset from the most stable computed form: 583.4 meV/atom
Magnetic moment: 1.224 μB per atom
Raw total energy: -3.162 eV per atom
Crystal system: cubic
SG: Fm-3m (225)

***

HfAs2Pb | PBE | relaxed

Structure (POSCAR):
```
HfAs2Pb
1.0
1.983 1.145 7.111
-1.983 1.145 7.111
0.000 -2.289 7.111
Hf As Pb
1 2 1
direct
0.000 0.000 0.000 Hf
0.262 0.262 0.262 As
0.738 0.738 0.738 As
0.500 0.500 0.500 Pb
```

Output
Energy of formation: -1.90 eV per formula unit
Magnetic moment: 0.000 μB per atom
Raw total energy: -6.216 eV per atom
Crystal system: trigonal
SG: R-3m (166)

***

FeSb2Os | PBE | relaxed

Structure (POSCAR):
```
FeSb2Os
1.0
3.211 0.000 0.000
0.000 4.982 0.000
0.000 0.000 4.467
Fe Sb Os
1 2 1
direct
0.000 0.000 0.000 Fe
0.000 0.500 0.230 Sb
0.500 0.000 0.512 Sb
0.500 0.500 0.743 Os
```

Output
Formation energy without anion corrections: 416 meV/atom
Offset from the most stable computed form: 133.2 meV/atom
Magnetic moment: 0.438 μB per atom
Raw total energy: -6.568 eV per atom
Crystal system: orthorhombic
SG: Pmm2 (25)

***

K2PaCu2Te6 | PBE | relaxed

Structure (POSCAR):
```
K2PaCu2Te6
1.0
7.458 -3.290 0.000
7.458 3.290 0.000
-4.972 0.000 8.289
K Pa Cu Te
2 1 2 6
direct
0.200 0.200 0.209 K
0.800 0.800 0.791 K
0.000 0.000 0.500 Pa
0.410 0.410 0.712 Cu
0.590 0.590 0.288 Cu
0.191 0.690 0.196 Te
0.220 0.220 0.604 Te
0.310 0.809 0.804 Te
0.690 0.191 0.196 Te
0.780 0.780 0.396 Te
0.809 0.310 0.804 Te
```

Output
Formation energy without anion corrections: -491 meV/atom
Magnetic moment: 0.000 μB per atom
Raw total energy: -4.012 eV per atom
Crystal system: monoclinic
SG: C2/m (12)

***

MgTiBO4 | PBE | relaxed

Structure (POSCAR):
```
MgTiBO4
1.0
3.137 0.000 0.000
0.000 9.494 0.000
0.000 0.000 9.442
Mg Ti B O
4 4 4 16
direct
0.000 0.060 0.000 Mg
0.000 0.316 0.520 Mg
0.000 0.684 0.020 Mg
0.000 0.940 0.500 Mg
0.500 0.179 0.286 Ti
0.500 0.442 0.799 Ti
0.500 0.558 0.299 Ti
0.500 0.821 0.786 Ti
0.000 0.373 0.070 B
0.000 0.627 0.570 B
0.500 0.126 0.731 B
0.500 0.874 0.231 B
0.000 0.133 0.404 O
0.000 0.243 0.134 O
0.000 0.382 0.924 O
0.000 0.500 0.145 O
0.000 0.500 0.645 O
0.000 0.618 0.424 O
0.000 0.757 0.634 O
0.000 0.867 0.904 O
0.500 0.001 0.651 O
0.500 0.120 0.875 O
0.500 0.258 0.661 O
0.500 0.369 0.373 O
0.500 0.631 0.873 O
0.500 0.742 0.161 O
0.500 0.880 0.375 O
0.500 0.999 0.151 O
```

Output
Formation energy without anion corrections: -2667 meV/atom
Magnetic moment: 0.143 μB per atom
Raw total energy: -7.809 eV per atom
Crystal system: orthorhombic
SG: Pmc2_1 (26)

***

KSr4Be | PBE | relaxed

Structure (POSCAR):
```
KSr4Be
1.0
0.000 5.492 5.492
5.492 0.000 5.492
5.492 5.492 0.000
K Sr Be
1 4 1
direct
0.000 0.000 0.000 K
0.126 0.625 0.625 Sr
0.625 0.126 0.625 Sr
0.625 0.625 0.126 Sr
0.625 0.625 0.625 Sr
0.250 0.250 0.250 Be
```

Output
Energy of formation: 4.34 eV per formula unit
Magnetic moment: 0.000 μB per atom
Raw total energy: -1.202 eV per atom
Crystal system: cubic
SG: F-43m (216)

***

PuGa4Bi | PBE | relaxed

Structure (POSCAR):
```
PuGa4Bi
1.0
0.000 4.011 4.011
4.011 0.000 4.011
4.011 4.011 0.000
Pu Ga Bi
1 4 1
direct
0.000 0.000 0.000 Pu
0.375 0.375 0.375 Ga
0.375 0.375 0.876 Ga
0.375 0.876 0.375 Ga
0.876 0.375 0.375 Ga
0.750 0.750 0.750 Bi
```

Output
Energy of formation: -0.64 eV per formula unit
Magnetic moment: 1.092 μB per atom
Raw total energy: -5.160 eV per atom
Crystal system: cubic
SG: F-43m (216)

***

AcHoGa2Au5 | PBE | relaxed

Structure (POSCAR):
```
AcHoGa2Au5
1.0
4.895 0.000 0.000
0.000 4.895 0.000
0.000 0.000 8.427
Ac Ho Ga Au
1 1 2 5
direct
0.000 0.000 0.000 Ac
0.000 0.000 0.500 Ho
0.500 0.500 0.349 Ga
0.500 0.500 0.651 Ga
0.000 0.500 0.262 Au
0.000 0.500 0.738 Au
0.500 0.000 0.262 Au
0.500 0.000 0.738 Au
0.500 0.500 0.000 Au
```

Output
Energy of formation: -4.64 eV per formula unit
Magnetic moment: 0.000 μB per atom
Raw total energy: -3.974 eV per atom
Crystal system: tetragonal
SG: P4/mmm (123)